Density functional theory data (meta-GGA SCAN) for NaTl2Sb at its PBEsol-relaxed geometry.

```
NaTl2Sb
1.0
7.631 0.000 0.000
0.000 7.631 0.000
0.000 0.000 7.631
Na Tl Sb
4 8 4
Direct
0.000 0.000 0.000
0.000 0.500 0.500
0.500 0.000 0.500
0.500 0.500 0.000
0.250 0.250 0.250
0.250 0.250 0.750
0.250 0.750 0.250
0.250 0.750 0.750
0.750 0.250 0.250
0.750 0.250 0.750
0.750 0.750 0.250
0.750 0.750 0.750
0.000 0.000 0.500
0.000 0.500 0.000
0.500 0.000 0.000
0.500 0.500 0.500
```

The value obtained for the density of states at the Fermi level is 0.14 states/eV/atom. The offset from the most stable computed form comes out at 0.000 eV per atom. The value obtained for the calculated volume is 27.8 A^3/atom.